A geometry-optimized NbHgBr2 structure, computed with PBEsol.

## Properties
- energy (eV/atom) = -3.46
- offset from the most stable computed form (eV per atom) = 0.765

```
NbHgBr2
1.0
7.089 0.000 0.000
0.000 7.089 0.000
0.000 0.000 7.089
Nb Hg Br
4 4 8
Direct
0.000 0.000 0.000 Nb
0.000 0.500 0.500 Nb
0.500 0.000 0.500 Nb
0.500 0.500 0.000 Nb
0.000 0.000 0.500 Hg
0.000 0.500 0.000 Hg
0.500 0.000 0.000 Hg
0.500 0.500 0.500 Hg
0.250 0.250 0.250 Br
0.250 0.250 0.750 Br
0.250 0.750 0.250 Br
0.250 0.750 0.750 Br
0.750 0.250 0.250 Br
0.750 0.250 0.750 Br
0.750 0.750 0.250 Br
0.750 0.750 0.750 Br
```